[1]
Here is a geometry-optimized HoThCu structure from OQMD via LeMat-Bulk. Energies are from PBE-GGA.

```
3
Lattice="0.000 3.419 3.419 3.419 0.000 3.419 3.419 3.419 0.000" Properties=species:S:1:pos:R:3 pbc="T T T"
Cu 0.000 0.000 0.000
Ho 1.710 1.710 1.710
Th 5.129 5.129 5.129
```

raw total energy	-5.063	eV/atom

[2]
Here is a geometry-optimized YMoPt structure from OQMD via LeMat-Bulk. Energies are from PBE-GGA.

```
9
Lattice="4.641 0.000 0.000 -2.320 4.019 0.000 0.000 0.000 9.709" Properties=species:S:1:pos:R:3 pbc="T T T"
Mo 0.000 2.679 0.007
Mo 0.000 0.000 5.847
Mo 0.000 2.679 7.275
Pt 2.320 1.340 0.596
Pt 2.320 1.340 3.443
Pt 2.320 1.340 6.236
Y 0.000 0.000 2.109
Y 0.000 2.679 4.362
Y 0.000 0.000 8.534
```

offset from the most stable computed form	0	meV per atom
raw total energy	-7.954	eV/atom

Number 1: formation energy from the elements 172 meV per atom. Number 2: formation energy from the elements -164 meV per atom.